(1)
# Co2AsPb, single point on PBEsol structure, DFT meta-GGA SCAN
# **ΔH_f (0 K)**: 0.45 eV/atom
data_Co2AsPb
_chemical_formula_sum 'Co2 As1 Pb1'
_cell_length_a 4.118
_cell_length_b 3.119
_cell_length_c 5.140
_cell_angle_alpha 90.00
_cell_angle_beta 111.58
_cell_angle_gamma 90.00
_space_group_name_H-M_alt 'P 1 2/m 1'
_space_group_IT_number 10
loop_
_space_group_symop_operation_xyz
'x,y,z'
'-x,-y,-z'
'-x,y,-z'
'x,-y,z'
loop_
_atom_site_label
_atom_site_type_symbol
_atom_site_fract_x
_atom_site_fract_y
_atom_site_fract_z
Co1 Co 0.000 0.000 0.000
Co2 Co 0.500 0.500 0.500
As1 As 0.000 0.000 0.500
Pb1 Pb 0.500 0.500 0.000

=====

(2)
# RbTaO2F, single point on PBEsol structure, DFT meta-GGA SCAN
# **Formation energy (no corrections)**: -2649 meV/atom
data_RbTaO2F
_chemical_formula_sum 'Rb1 Ta1 O2 F1'
_cell_length_a 4.008
_cell_length_b 4.008
_cell_length_c 4.267
_cell_angle_alpha 90.00
_cell_angle_beta 90.00
_cell_angle_gamma 90.00
_space_group_name_H-M_alt 'P 4/m m m'
_space_group_IT_number 123
_space_group_name_Hall '-P 4 2'
loop_
_atom_site_label
_atom_site_type_symbol
_atom_site_fract_x
_atom_site_fract_y
_atom_site_fract_z
Rb1 Rb 0.000 0.000 0.000
Ta1 Ta 0.500 0.500 0.500
O1 O 0.000 0.500 0.500
F1 F 0.500 0.500 0.000

=====

(3)
# Ag4Te3, single point on PBEsol structure, DFT meta-GGA SCAN
# **Formation energy (no corrections)**: 36 meV/atom
data_Ag4Te3
_chemical_formula_sum 'Ag8 Te6'
_cell_length_a 3.754
_cell_length_b 3.754
_cell_length_c 22.800
_cell_angle_alpha 90.00
_cell_angle_beta 90.00
_cell_angle_gamma 90.00
_space_group_name_H-M_alt 'I 4/m m m'
_space_group_IT_number 139
_space_group_name_Hall '-I 4 2'
loop_
_atom_site_label
_atom_site_type_symbol
_atom_site_fract_x
_atom_site_fract_y
_atom_site_fract_z
Ag1 Ag 0.000 0.000 0.062
Ag2 Ag 0.000 0.000 0.370
Te1 Te 0.000 0.000 0.182
Te2 Te 0.000 0.000 0.500

=====

(4)
# AsRuPb2, single point on PBEsol structure, DFT meta-GGA SCAN
# **ΔH_f (0 K)**: 0.67 eV/atom
data_AsRuPb2
_chemical_formula_sum 'As2 Ru2 Pb4'
_cell_length_a 4.517
_cell_length_b 4.517
_cell_length_c 8.133
_cell_angle_alpha 90.00
_cell_angle_beta 90.00
_cell_angle_gamma 90.00
_space_group_name_H-M_alt 'I 4/m m m'
_space_group_IT_number 139
_space_group_name_Hall '-I 4 2'
loop_
_atom_site_label
_atom_site_type_symbol
_atom_site_fract_x
_atom_site_fract_y
_atom_site_fract_z
As1 As 0.000 0.000 0.000
Ru1 Ru 0.000 0.000 0.500
Pb1 Pb 0.000 0.500 0.250

=====

| no. | total energy (eV per atom) |
| --- | --- |
| 1 | -32.20 |
| 2 | -23.31 |
| 3 | -33.85 |
| 4 | -50.98 |